No. 1
DFT (PBE) results for a geometry-optimized SrYBr2 structure.

```
SrYBr2
1.0
3.983 0.000 0.000
0.000 3.979 -0.001
0.000 3.977 7.938
Y Sr Br
1 1 2
Direct
0.500 0.671 0.829
0.000 0.538 0.462
0.500 0.249 0.251
0.000 0.042 0.958
```

## Properties
Distance to the lowest polymorph of the same formula, eV per atom: 0.000
Raw formation energy, eV/f.u.: -4.859

No. 2
DFT (PBE) results for a geometry-optimized SrCd6Sn4 structure.

```
SrCd6Sn4
1.0
-3.911 0.258 -6.585
7.514 -1.449 -0.398
-1.462 -5.823 4.762
Sn Cd Sr
4 6 1
Direct
0.000 0.160 0.605
0.000 0.605 0.160
0.445 0.840 0.840
0.555 0.395 0.395
0.726 0.206 0.206
0.500 0.500 0.000
0.274 0.480 0.480
0.000 0.520 0.794
0.000 0.794 0.520
0.500 0.000 0.500
0.000 0.000 0.000
```

## Properties
Energy of formation from the pure elements, kJ per mole of atoms: -1.7